(1)
This record from Alexandria via LeMat-Bulk describes Mn4CrCl after structural relaxation. The functional is PBE.

Cell lengths 4.998, 4.998, 4.998 Å; angles 60.00, 60.00, 60.00 degrees
Atoms (fractional coordinates):
Mn  0.374  0.374  0.374
Mn  0.374  0.374  0.878
Mn  0.878  0.374  0.374
Mn  0.374  0.878  0.374
Cl  0.750  0.750  0.750
Cr  0.000  0.000  0.000

## Properties
Formation energy from raw total energies, eV per atom: 0.7567

(2)
This record from Alexandria via LeMat-Bulk describes Zr2TaAs after structural relaxation. The functional is PBE.

Cell lengths 4.770, 4.770, 4.770 Å; angles 60.00, 60.00, 60.00 degrees
Atoms (fractional coordinates):
Zr  0.000  0.000  0.000
Zr  0.250  0.250  0.250
Ta  0.750  0.750  0.750
As  0.500  0.500  0.500

## Properties
E_tot, eV per atom: -8.394

(3)
This record from Alexandria via LeMat-Bulk describes BaRuCl after structural relaxation. The functional is PBE.

Cell lengths 5.913, 5.913, 5.913 Å; angles 141.30, 133.51, 62.04 degrees
Atoms (fractional coordinates):
Cl  0.639  0.639  0.000
Ba  0.952  0.952  0.000
Ru  0.409  0.409  0.000

## Properties
Formation energy from raw total energies, eV per atom: 0.1494
Distance to the lowest polymorph of the same formula, eV/atom: 0.240

(4)
This record from Alexandria via LeMat-Bulk describes Y2GaHgGe after structural relaxation. The functional is PBE.

Cell lengths 4.472, 7.499, 7.309 Å; angles 90.00, 90.00, 90.00 degrees
Atoms (fractional coordinates):
Ga  0.750  0.419  0.250
Ga  0.250  0.581  0.750
Ge  0.250  0.915  0.751
Ge  0.750  0.085  0.249
Y  0.750  0.782  0.503
Y  0.250  0.219  0.002
Y  0.250  0.218  0.497
Y  0.750  0.781  0.998
Hg  0.750  0.385  0.748
Hg  0.250  0.615  0.252

## Properties
E_tot, eV per atom: -4.735

(5)
This record from Alexandria via LeMat-Bulk describes Er2TmZn4 after structural relaxation. The functional is PBE.

Cell lengths 5.074, 5.074, 7.172 Å; angles 110.71, 110.71, 90.00 degrees
Atoms (fractional coordinates):
Zn  0.611  0.111  0.221
Zn  0.889  0.389  0.779
Zn  0.389  0.889  0.779
Zn  0.111  0.611  0.221
Er  0.728  0.728  0.457
Er  0.272  0.272  0.543
Tm  0.000  0.000  0.000

## Properties
E_tot, eV per atom: -2.829

(6)
This record from Alexandria via LeMat-Bulk describes NdGa2Hg after structural relaxation. The functional is PBE.

Cell lengths 4.372, 4.547, 4.547 Å; angles 90.00, 90.00, 90.00 degrees
Atoms (fractional coordinates):
Ga  0.000  0.000  0.500
Ga  0.000  0.500  0.000
Nd  0.500  0.000  0.000
Hg  0.500  0.500  0.500

## Properties
Distance to the lowest polymorph of the same formula, eV/atom: 0.000

no.,M_tot (μB per atom)
1,1.324
2,0.000
3,0.354
4,0.000
5,0.000
6,0.000